Record 1
Material: LaHfTc2Rh
Method: DFT, PBE
State: relaxed

a = 4.8071 Å, b = 5.0628 Å, c = 4.8071 Å
α = 90.00°, β = 90.00°, γ = 90.00°
Last column: nearest neighbours and their distance in Å.
Element x y z (fractional)
Tc (0.0000, 0.0000, 0.5000)  2 Rh 2.40
Tc (0.5000, 0.0000, 0.0000)  2 Rh 2.40
Rh (0.0000, 0.0000, 0.0000)  4 Tc 2.40, 2 La 2.53
La (0.0000, 0.5000, 0.0000)  2 Rh 2.53
Hf (0.5000, 0.5000, 0.5000)  4 La 3.40, 8 Tc 3.49

Summary:
The value obtained for the calculated density is 8.7 g/cm³. As for the formation enthalpy at 0 K: 1.10 eV per atom. For the magnetization, the calculation gives 0.00 μB per formula unit.

Record 2
Material: HoZrOsRh
Method: DFT, PBE
State: relaxed

a = 4.7277 Å, b = 4.7277 Å, c = 4.7277 Å
α = 60.00°, β = 60.00°, γ = 60.00°
Last column: nearest neighbours and their distance in Å.
Element x y z (fractional)
Ho (0.2500, 0.2500, 0.2500)  4 Rh 2.90, 4 Os 2.90
Rh (0.0000, 0.0000, 0.0000)  4 Ho 2.90, 4 Zr 2.90
Os (0.5000, 0.5000, 0.5000)  4 Zr 2.90, 4 Ho 2.90
Zr (0.7500, 0.7500, 0.7500)  4 Os 2.90, 4 Rh 2.90

Summary:
The value obtained for the calculated density is 12.2 g/cm³. As for the formation enthalpy at 0 K: -0.60 eV per atom. For the magnetization, the calculation gives 0.00 μB per formula unit.

Record 3
Material: Na4Tb3CeSe8
Method: DFT, PBE
State: relaxed

a = 8.3984 Å, b = 8.5099 Å, c = 8.3981 Å
α = 119.59°, β = 120.00°, γ = 90.00°
Last column: nearest neighbours and their distance in Å.
Element x y z (fractional)
Se (0.2621, 0.2675, 0.0147)  2 Tb 2.90, 1 Ce 2.96, 3 Na 3.03-3.08
Se (0.2474, 0.7325, 0.9853)  2 Tb 2.90, 1 Ce 2.96, 3 Na 3.03-3.08
Se (0.7526, 0.2675, 0.5052)  2 Tb 2.90, 1 Ce 2.96, 3 Na 3.02-3.08
Se (0.2566, 0.2701, 0.5132)  3 Tb 2.91, 3 Na 3.07
Se (0.2474, 0.7325, 0.4948)  2 Tb 2.90, 1 Ce 2.96, 3 Na 3.02-3.08
Se (0.7379, 0.7325, 0.9853)  2 Tb 2.90, 1 Ce 2.96, 3 Na 3.03-3.08
Se (0.7526, 0.2675, 0.0147)  2 Tb 2.90, 1 Ce 2.96, 3 Na 3.03-3.08
Se (0.7434, 0.7299, 0.4868)  3 Tb 2.91, 3 Na 3.07
Na (0.0000, 0.0000, 0.0000)  6 Se 3.07-3.08
Na (0.5000, 0.0000, 0.5000)  6 Se 3.07-3.08
Na (0.5000, 0.0000, 0.0000)  6 Se 3.02-3.03
Na (0.0000, 0.0000, 0.5000)  6 Se 3.07-3.08
Tb (0.5000, 0.5000, 0.0000)  6 Se 2.90-2.91
Tb (0.0000, 0.5000, 0.5000)  6 Se 2.90-2.91
Tb (0.5000, 0.5000, 0.5000)  6 Se 2.90-2.91
Ce (0.0000, 0.5000, 0.0000)  6 Se 2.96

Summary:
The value obtained for the calculated density is 5.2 g/cm³. The formation energy (no corrections) comes out at -1.6824 eV/atom. For the magnetization, the calculation gives 1.00 μB per formula unit.

Record 4
Material: ScVSb2
Method: DFT, PBE
State: relaxed

a = 4.0874 Å, b = 4.0874 Å, c = 6.8422 Å
α = 72.62°, β = 72.62°, γ = 60.00°
Last column: nearest neighbours and their distance in Å.
Element x y z (fractional)
Sb (0.2572, 0.2572, 0.2283)  3 V 2.78, 3 Sc 2.93
Sb (0.7428, 0.7428, 0.7717)  3 V 2.78, 3 Sc 2.93
V (0.0000, 0.0000, 0.0000)  6 Sb 2.78
Sc (0.5000, 0.5000, 0.5000)  6 Sb 2.93

Summary:
The value obtained for the calculated density is 6.1 g/cm³. The formation energy (no corrections) comes out at -0.3561 eV/atom. For the magnetization, the calculation gives 1.98 μB per formula unit.

Record 5
Material: AcGa4Rh2
Method: DFT, PBE
State: relaxed

a = 4.2489 Å, b = 7.1357 Å, c = 17.8006 Å
α = 90.00°, β = 90.00°, γ = 90.00°
Last column: nearest neighbours and their distance in Å.
Element x y z (fractional)
Rh (0.2500, 0.8564, 0.0337)  7 Ga 2.53-2.69
Rh (0.2500, 0.6436, 0.5337)  7 Ga 2.53-2.69
Rh (0.7500, 0.3564, 0.4663)  7 Ga 2.53-2.69
Rh (0.7500, 0.1436, 0.9663)  7 Ga 2.53-2.69
Rh (0.2500, 0.9388, 0.7647)  7 Ga 2.48-2.72
Rh (0.2500, 0.5612, 0.2647)  7 Ga 2.48-2.72
Rh (0.7500, 0.4388, 0.7353)  7 Ga 2.48-2.72
Rh (0.7500, 0.0612, 0.2353)  7 Ga 2.48-2.72
Ga (0.7500, 0.7438, 0.2973)  3 Rh 2.52-2.56, 1 Ga 2.76
Ga (0.2500, 0.5085, 0.4024)  4 Rh 2.48-2.64
Ga (0.2500, 0.9915, 0.9024)  4 Rh 2.48-2.64
Ga (0.7500, 0.0085, 0.0976)  4 Rh 2.48-2.64
Ga (0.2500, 0.6407, 0.6850)  4 Rh 2.56-2.72, 3 Ga 2.76-2.84
Ga (0.7500, 0.7732, 0.9581)  3 Rh 2.58-2.65, 3 Ga 2.81-2.86
Ga (0.2500, 0.2732, 0.5419)  3 Rh 2.58-2.65, 3 Ga 2.81-2.86
Ga (0.7500, 0.4915, 0.5976)  4 Rh 2.48-2.64
Ga (0.2500, 0.2438, 0.2027)  3 Rh 2.52-2.56, 1 Ga 2.76
Ga (0.7500, 0.7268, 0.4581)  3 Rh 2.58-2.65, 3 Ga 2.81-2.86
Ga (0.2500, 0.2268, 0.0419)  3 Rh 2.58-2.65, 3 Ga 2.81-2.86
Ga (0.7500, 0.7562, 0.7973)  3 Rh 2.52-2.56, 1 Ga 2.76
Ga (0.2500, 0.8593, 0.1850)  4 Rh 2.56-2.72, 3 Ga 2.76-2.84
Ga (0.7500, 0.1407, 0.8150)  4 Rh 2.56-2.72, 3 Ga 2.76-2.84
Ga (0.7500, 0.3593, 0.3150)  4 Rh 2.56-2.72, 3 Ga 2.76-2.84
Ga (0.2500, 0.2562, 0.7027)  3 Rh 2.52-2.56, 1 Ga 2.76
Ac (0.7500, 0.9678, 0.6167)  9 Ga 3.31-3.55, 4 Rh 3.39-3.47
Ac (0.7500, 0.5322, 0.1167)  9 Ga 3.31-3.55, 4 Rh 3.39-3.47
Ac (0.2500, 0.0322, 0.3833)  9 Ga 3.31-3.55, 4 Rh 3.39-3.47
Ac (0.2500, 0.4678, 0.8833)  9 Ga 3.31-3.55, 4 Rh 3.39-3.47

Summary:
The value obtained for the calculated density is 8.8 g/cm³. As for the formation enthalpy at 0 K: -0.68 eV per atom. For the magnetization, the calculation gives 0.00 μB per formula unit.

Record 6
Material: TbCoSi3
Method: DFT, PBE
State: relaxed

a = 4.2840 Å, b = 5.5326 Å, c = 7.3349 Å
α = 90.00°, β = 106.98°, γ = 90.00°
Last column: nearest neighbours and their distance in Å.
Element x y z (fractional)
Si (0.2932, 0.9983, 0.5863)  1 Co 2.27, 2 Si 2.46
Si (0.8793, 0.2500, 0.7586)  2 Co 2.22
Si (0.7068, 0.0017, 0.4137)  1 Co 2.27, 2 Si 2.46
Si (0.2932, 0.5017, 0.5863)  1 Co 2.27, 2 Si 2.46
Si (0.1207, 0.7500, 0.2414)  2 Co 2.22
Si (0.7068, 0.4983, 0.4137)  1 Co 2.27, 2 Si 2.46
Tb (0.9109, 0.7500, 0.8218)  7 Si 2.80-3.03
Tb (0.0891, 0.2500, 0.1782)  7 Si 2.80-3.03
Co (0.4211, 0.2500, 0.8422)  4 Si 2.22-2.27
Co (0.5789, 0.7500, 0.1578)  4 Si 2.22-2.27

Summary:
The value obtained for the calculated density is 6.0 g/cm³. The formation energy (no corrections) comes out at -0.2514 eV/atom. For the magnetization, the calculation gives 0.00 μB per formula unit.

Record 7
Material: TbScGaCu
Method: DFT, PBE
State: relaxed

a = 4.8665 Å, b = 4.8665 Å, c = 4.8665 Å
α = 60.00°, β = 60.00°, γ = 60.00°
Last column: nearest neighbours and their distance in Å.
Element x y z (fractional)
Ga (0.0000, 0.0000, 0.0000)  4 Tb 2.98, 4 Sc 2.98
Sc (0.7500, 0.7500, 0.7500)  4 Cu 2.98, 4 Ga 2.98
Cu (0.5000, 0.5000, 0.5000)  4 Tb 2.98, 4 Sc 2.98
Tb (0.2500, 0.2500, 0.2500)  4 Cu 2.98, 4 Ga 2.98

Summary:
The value obtained for the calculated density is 6.9 g/cm³. As for the formation enthalpy at 0 K: -0.42 eV per atom. For the magnetization, the calculation gives 0.00 μB per formula unit.

Record 8
Material: LaZr2Sc2
Method: DFT, PBE
State: relaxed

a = 8.9382 Å, b = 8.9382 Å, c = 3.3153 Å
α = 90.00°, β = 90.00°, γ = 90.00°
Last column: nearest neighbours and their distance in Å.
Element x y z (fractional)
La (0.5000, 0.5000, 0.0000)  2 La 3.32, 4 Sc 3.56, 8 Zr 3.70
La (0.0000, 0.0000, 0.0000)  2 La 3.32, 4 Sc 3.56, 8 Zr 3.70
Zr (0.3275, 0.1725, 0.5000)  6 Sc 3.09-3.14, 2 Zr 3.32
Zr (0.6725, 0.8275, 0.5000)  6 Sc 3.09-3.14, 2 Zr 3.32
Zr (0.1725, 0.6725, 0.5000)  6 Sc 3.09-3.14, 2 Zr 3.32
Zr (0.8275, 0.3275, 0.5000)  6 Sc 3.09-3.14, 2 Zr 3.32
Sc (0.8792, 0.6208, 0.0000)  3 Sc 3.05-3.32, 6 Zr 3.09-3.14
Sc (0.1208, 0.3792, 0.0000)  3 Sc 3.05-3.32, 6 Zr 3.09-3.14
Sc (0.6208, 0.1208, 0.0000)  3 Sc 3.05-3.32, 6 Zr 3.09-3.14
Sc (0.3792, 0.8792, 0.0000)  3 Sc 3.05-3.32, 6 Zr 3.09-3.14

Summary:
The value obtained for the calculated density is 5.2 g/cm³. As for the formation enthalpy at 0 K: 0.13 eV per atom. For the magnetization, the calculation gives 0.00 μB per formula unit.

Record 9
Material: As2RuBr
Method: DFT, PBE
State: relaxed

a = 2.9321 Å, b = 2.9320 Å, c = 10.5435 Å
α = 90.00°, β = 90.00°, γ = 90.00°
Last column: nearest neighbours and their distance in Å.
Element x y z (fractional)
Ru (0.5000, 0.5000, 0.7500)  8 As 2.64, 4 Ru 2.93
As (0.0000, 0.0000, 0.5951)  4 Ru 2.64, 4 As 2.93
As (0.0000, 0.0000, 0.9049)  4 Ru 2.64, 4 As 2.93
Br (0.5000, 0.5000, 0.2500)  4 Br 2.93

Summary:
The value obtained for the calculated density is 6.1 g/cm³. The formation energy (no corrections) comes out at -0.0090 eV/atom. For the magnetization, the calculation gives 0.00 μB per formula unit.

Record 10
Material: Sr3ZrTa
Method: DFT, PBE
State: relaxed

a = 5.9607 Å, b = 5.9607 Å, c = 5.9607 Å
α = 90.00°, β = 90.00°, γ = 90.00°
Last column: nearest neighbours and their distance in Å.
Element x y z (fractional)
Ta (0.0000, 0.0000, 0.0000)  6 Sr 2.98
Sr (0.0000, 0.0000, 0.5000)  2 Ta 2.98
Sr (0.5000, 0.0000, 0.0000)  2 Ta 2.98
Sr (0.0000, 0.5000, 0.0000)  2 Ta 2.98
Zr (0.5000, 0.5000, 0.5000)  12 Sr 4.21

Summary:
The value obtained for the calculated density is 4.2 g/cm³. As for the formation enthalpy at 0 K: 1.51 eV per atom. For the magnetization, the calculation gives 1.18 μB per formula unit.

Record 11
Material: Pr3Ho2PaP6
Method: DFT, PBE
State: relaxed

a = 7.0611 Å, b = 7.0611 Å, c = 7.1047 Å
α = 99.51°, β = 99.51°, γ = 120.00°
Last column: nearest neighbours and their distance in Å.
Element x y z (fractional)
P (0.4053, 0.0776, 0.2334)  1 Pa 2.79, 2 Ho 2.84-2.85, 3 Pr 2.94-2.98
P (0.0776, 0.4053, 0.2334)  1 Pa 2.79, 2 Ho 2.84-2.85, 3 Pr 2.94-2.98
P (0.9224, 0.5947, 0.7666)  1 Pa 2.79, 2 Ho 2.84-2.85, 3 Pr 2.94-2.98
P (0.7505, 0.7505, 0.2332)  1 Pa 2.79, 2 Ho 2.84, 3 Pr 2.95-2.99
P (0.5947, 0.9224, 0.7666)  1 Pa 2.79, 2 Ho 2.84-2.85, 3 Pr 2.94-2.98
P (0.2495, 0.2495, 0.7668)  1 Pa 2.79, 2 Ho 2.84, 3 Pr 2.95-2.99
Pr (0.8318, 0.1682, 0.5000)  6 P 2.94-2.98
Pr (0.1682, 0.8318, 0.5000)  6 P 2.94-2.98
Pr (0.5000, 0.5000, 0.5000)  6 P 2.94-2.99
Pa (0.0000, 0.0000, 0.0000)  6 P 2.79
Ho (0.3337, 0.6663, 0.0000)  6 P 2.84-2.85
Ho (0.6663, 0.3337, 0.0000)  6 P 2.84-2.85

Summary:
The value obtained for the calculated density is 6.7 g/cm³. As for the formation enthalpy at 0 K: -1.53 eV per atom. For the magnetization, the calculation gives 0.00 μB per formula unit.

Record 12
Material: Pu2Ge2Rh
Method: DFT, PBE
State: relaxed

a = 4.3566 Å, b = 5.6229 Å, c = 9.5699 Å
α = 89.10°, β = 76.84°, γ = 67.21°
Last column: nearest neighbours and their distance in Å.
Element x y z (fractional)
Pu (0.3239, 0.6809, 0.6713)  3 Rh 2.92-3.15, 7 Ge 3.02-3.27
Pu (0.0760, 0.7370, 0.1110)  6 Ge 3.01-3.12, 2 Rh 3.08
Pu (0.6761, 0.3191, 0.3287)  3 Rh 2.92-3.15, 7 Ge 3.02-3.27
Pu (0.9240, 0.2630, 0.8890)  6 Ge 3.01-3.12, 2 Rh 3.08
Ge (0.9059, 0.7421, 0.4461)  3 Rh 2.53-2.69, 1 Ge 2.78
Ge (0.6362, 0.8437, 0.8838)  1 Rh 2.59, 1 Ge 2.60
Ge (0.0941, 0.2579, 0.5539)  3 Rh 2.53-2.69, 1 Ge 2.78
Ge (0.3638, 0.1563, 0.1162)  1 Rh 2.59, 1 Ge 2.60
Rh (0.6101, 0.1171, 0.6627)  4 Ge 2.53-2.69
Rh (0.3899, 0.8829, 0.3373)  4 Ge 2.53-2.69

Summary:
The value obtained for the calculated density is 11.7 g/cm³. As for the formation enthalpy at 0 K: -0.56 eV per atom. For the magnetization, the calculation gives 10.58 μB per formula unit.

Question: Number 4 is which compound?
Answer: ScVSb2

Question: What is the formula in the fifth record?
Answer: AcGa4Rh2

Question: The highest magnetization belongs to which entry?
Answer: Pu2Ge2Rh